{
  "formula": "CaAgNF2",
  "functional": "PBE",
  "state": "relaxed",
  "m_tot_mub_per_fu": 1.1,
  "e_form_raw_ev_per_atom": -0.87,
  "polymorph_energy_kcal_per_mol_atoms": 2.78,
  "e_tot_ev_per_atom": -4.257,
  "lattice": [[4.428, 0.000, 0.000], [0.000, 4.428, 0.000], [0.000, 0.000, 4.042]],
  "species": ["Ca", "Ag", "N", "F", "F"],
  "frac_coords": [[0.000, 0.000, 0.000], [0.500, 0.500, 0.500], [0.500, 0.500, 0.000], [0.000, 0.500, 0.500], [0.500, 0.000, 0.500]]
}